Below is a geometry-optimized Ir3Cl2 structure, with properties calculated at the PBE-GGA level.

Computed properties:
SG   R-3m, No. 166
ΔE to the lowest computed polymorph   137 meV/atom
Formation energy without anion corrections   0.826 eV/atom

Cell and atoms, written as POSCAR:
```
Ir3Cl2
1.0
8.5067 -1.9264 -0.0377
8.5067 1.9264 -0.0377
8.0852 0.0000 3.2721
Ir Cl
3 2
Direct
0.0000 0.0000 0.0000
0.1809 0.1809 0.1809
0.8191 0.8191 0.8191
0.3775 0.3775 0.3775
0.6225 0.6225 0.6225
```